[1]
Crystalline NdTi2Si4 at its relaxed geometry, computed with PBE-GGA.

Lattice parameters (Å, degrees): 3.819 3.859 8.655 102.88 102.74 90.00
Atoms (fractional coordinates):
Ti: 0.815 0.815 0.630
Si: 0.338 0.338 0.676
Si: 0.926 0.426 0.851
Si: 0.662 0.662 0.324
Nd: 0.500 0.000 0.000
Ti: 0.185 0.185 0.370
Si: 0.074 0.574 0.149

Results
Crystal system = orthorhombic
Formation energy (no corrections) = -13.43 kcal/mol of atoms
Density = 4831 kg/m³
Space-group type = Immm
D(E_F) = 3.70 states/eV/f.u.


[2]
Crystalline NdTiSi at its relaxed geometry, computed with PBE-GGA.

Lattice parameters (Å, degrees): 4.249 7.285 7.285 120.00 90.00 90.00
Atoms (fractional coordinates):
Ti: 0.500 0.000 0.776
Ti: 0.500 0.776 0.000
Ti: 0.500 0.224 0.224
Nd: 0.000 0.000 0.413
Si: 0.500 0.333 0.667
Si: 0.500 0.667 0.333
Nd: 0.000 0.413 0.000
Nd: 0.000 0.587 0.587
Si: 0.000 0.000 0.000

Results
Crystal system = hexagonal
Formation energy (no corrections) = -11.21 kcal/mol of atoms
Density = 5617 kg/m³
Space-group type = P-62m
D(E_F) = 4.47 states/eV/f.u.


[3]
Crystalline Nd12TlSi6 at its relaxed geometry, computed with PBE-GGA.

Lattice parameters (Å, degrees): 8.926 8.926 8.926 109.47 109.47 109.47
Atoms (fractional coordinates):
Nd: 0.514 0.812 0.702
Nd: 0.890 0.188 0.702
Nd: 0.812 0.298 0.110
Nd: 0.812 0.702 0.514
Tl: 0.000 0.000 0.000
Si: 0.614 0.500 0.114
Nd: 0.486 0.188 0.298
Nd: 0.298 0.110 0.812
Nd: 0.702 0.514 0.812
Nd: 0.188 0.702 0.890
Si: 0.886 0.386 0.500
Si: 0.500 0.114 0.614
Nd: 0.702 0.890 0.188
Si: 0.386 0.500 0.886
Nd: 0.188 0.298 0.486
Si: 0.114 0.614 0.500
Nd: 0.110 0.812 0.298
Nd: 0.298 0.486 0.188
Si: 0.500 0.886 0.386

Results
Crystal system = cubic
Formation energy (no corrections) = -11.91 kcal/mol of atoms
Density = 6380 kg/m³
Space-group type = Im-3
D(E_F) = 6.82 states/eV/f.u.


[4]
Crystalline Nd5TlSi2 at its relaxed geometry, computed with PBE-GGA.

Lattice parameters (Å, degrees): 7.903 7.903 9.239 115.32 115.32 90.00
Atoms (fractional coordinates):
Nd: 0.814 0.963 0.277
Si: 0.883 0.617 0.000
Si: 0.617 0.117 0.000
Tl: 0.250 0.250 0.500
Tl: 0.750 0.750 0.500
Nd: 0.000 0.000 0.000
Nd: 0.186 0.037 0.723
Nd: 0.314 0.814 0.277
Si: 0.383 0.883 0.000
Nd: 0.686 0.186 0.723
Nd: 0.037 0.537 0.723
Nd: 0.963 0.463 0.277
Si: 0.117 0.383 0.000
Nd: 0.537 0.686 0.723
Nd: 0.500 0.500 0.000
Nd: 0.463 0.314 0.277

Results
Crystal system = tetragonal
Formation energy (no corrections) = -12.01 kcal/mol of atoms
Density = 7095 kg/m³
Space-group type = I4/mcm
D(E_F) = 7.82 states/eV/f.u.


[5]
Crystalline Nd6Tl2Si at its relaxed geometry, computed with PBE-GGA.

Lattice parameters (Å, degrees): 4.091 8.810 8.809 120.00 90.00 90.00
Last column: magnetic moment on the atom in μB.
Atoms (fractional coordinates):
Tl: 0.000 0.333 0.667  0.00
Si: 0.500 0.000 0.000  -0.01
Nd: 0.000 0.000 0.255  0.07
Nd: 0.000 0.255 0.000  0.07
Nd: 0.500 0.391 0.391  0.09
Nd: 0.000 0.745 0.745  0.07
Nd: 0.500 0.000 0.609  0.09
Tl: 0.000 0.667 0.333  0.00
Nd: 0.500 0.609 0.000  0.09

Results
Crystal system = hexagonal
Formation energy (no corrections) = -7.92 kcal/mol of atoms
Density = 7865 kg/m³
Space-group type = P-62m
D(E_F) = 13.76 states/eV/f.u.


[6]
Crystalline Nd12TlSi5 at its relaxed geometry, computed with PBE-GGA.

Lattice parameters (Å, degrees): 8.784 8.784 8.784 105.55 112.20 110.73
Atoms (fractional coordinates):
Nd: 0.296 0.680 0.976
Si: 0.377 0.377 0.000
Nd: 0.198 0.968 0.769
Si: 0.623 0.623 0.000
Nd: 0.090 0.819 0.271
Nd: 0.198 0.429 0.231
Nd: 0.452 0.181 0.271
Nd: 0.802 0.571 0.769
Nd: 0.704 0.320 0.024
Nd: 0.548 0.819 0.729
Si: 0.500 0.887 0.387
Si: 0.500 0.113 0.613
Nd: 0.296 0.320 0.615
Nd: 0.704 0.680 0.385
Si: 0.000 0.000 0.000
Tl: 0.000 0.500 0.500
Nd: 0.802 0.032 0.231
Nd: 0.910 0.181 0.729

Results
Crystal system = orthorhombic
Formation energy (no corrections) = -11.09 kcal/mol of atoms
Density = 6632 kg/m³
Space-group type = Immm
D(E_F) = 14.83 states/eV/f.u.


[7]
Crystalline Nd5Tl2Si at its relaxed geometry, computed with PBE-GGA.

Lattice parameters (Å, degrees): 5.175 7.034 13.199 90.00 90.00 90.00
Atoms (fractional coordinates):
Nd: 0.000 0.868 0.215
Nd: 0.500 0.172 0.084
Nd: 0.500 0.828 0.916
Si: 0.000 0.500 0.500
Tl: 0.500 0.610 0.159
Nd: 0.000 0.000 0.500
Nd: 0.000 0.500 0.000
Nd: 0.500 0.672 0.416
Si: 0.000 0.000 0.000
Nd: 0.000 0.368 0.285
Tl: 0.500 0.890 0.659
Nd: 0.000 0.632 0.715
Nd: 0.500 0.328 0.584
Nd: 0.000 0.132 0.785
Tl: 0.500 0.110 0.341
Tl: 0.500 0.390 0.841

Results
Crystal system = orthorhombic
Formation energy (no corrections) = -8.92 kcal/mol of atoms
Density = 8005 kg/m³
Space-group type = Pbam
D(E_F) = 5.97 states/eV/f.u.


[8]
Crystalline Nd7TlSi5 at its relaxed geometry, computed with PBE-GGA.

Lattice parameters (Å, degrees): 6.188 8.140 8.140 86.29 67.66 67.66
Atoms (fractional coordinates):
Nd: 0.653 0.347 0.347
Si: 0.772 0.728 0.728
Si: 0.447 0.490 0.011
Nd: 0.546 0.785 0.122
Tl: 0.967 0.033 0.033
Si: 0.053 0.490 0.011
Nd: 0.974 0.340 0.711
Nd: 0.974 0.711 0.340
Si: 0.447 0.011 0.490
Si: 0.053 0.011 0.490
Nd: 0.546 0.122 0.785
Nd: 0.276 0.724 0.724
Nd: 0.293 0.207 0.207

Results
Crystal system = orthorhombic
Formation energy (no corrections) = -9.09 kcal/mol of atoms
Density = 6439 kg/m³
Space-group type = Imm2
D(E_F) = 10.66 states/eV/f.u.


[9]
Crystalline Nd4TlSi at its relaxed geometry, computed with PBE-GGA.

Lattice parameters (Å, degrees): 6.035 8.775 6.890 90.00 90.00 98.31
Atoms (fractional coordinates):
Nd: 0.143 0.754 0.987
Tl: 0.729 0.919 0.750
Nd: 0.661 0.856 0.250
Tl: 0.271 0.081 0.250
Si: 0.843 0.540 0.250
Si: 0.157 0.460 0.750
Nd: 0.647 0.548 0.750
Nd: 0.857 0.246 0.013
Nd: 0.857 0.246 0.487
Nd: 0.339 0.144 0.750
Nd: 0.143 0.754 0.513
Nd: 0.353 0.452 0.250

Results
Crystal system = monoclinic
Formation energy (no corrections) = -8.40 kcal/mol of atoms
Density = 7446 kg/m³
Space-group type = P2_1/m
D(E_F) = 5.68 states/eV/f.u.


[10]
Crystalline NdTmSi at its relaxed geometry, computed with PBE-GGA.

Lattice parameters (Å, degrees): 4.255 6.163 6.884 89.58 108.02 69.82
Atoms (fractional coordinates):
Si: 0.471 0.357 0.710
Nd: 0.158 0.963 0.689
Tm: 0.031 0.496 0.969
Si: 0.389 0.194 0.383
Nd: 0.702 0.588 0.404
Tm: 0.829 0.055 0.124

Results
Crystal system = monoclinic
Excess energy over the best structure of this formula in the dataset = 0.035 eV per atom
Formation energy (no corrections) = -11.78 kcal/mol of atoms
Density = 7093 kg/m³
Space-group type = C2/m
D(E_F) = 3.39 states/eV/f.u.


[11]
Crystalline NdTmSi4 at its relaxed geometry, computed with PBE-GGA.

Lattice parameters (Å, degrees): 4.079 8.243 14.653 90.00 90.00 90.00
Atoms (fractional coordinates):
Si: 0.500 0.121 0.557
Si: 0.500 0.621 0.943
Si: 0.500 0.980 0.705
Tm: 0.000 0.360 0.912
Si: 0.500 0.379 0.057
Si: 0.500 0.194 0.804
Tm: 0.000 0.140 0.412
Si: 0.500 0.373 0.463
Nd: 0.000 0.884 0.862
Si: 0.500 0.873 0.037
Tm: 0.000 0.860 0.588
Tm: 0.000 0.640 0.088
Si: 0.500 0.627 0.537
Si: 0.500 0.879 0.443
Si: 0.500 0.480 0.795
Si: 0.500 0.020 0.295
Nd: 0.000 0.116 0.138
Si: 0.500 0.694 0.696
Nd: 0.000 0.384 0.638
Si: 0.500 0.127 0.963
Si: 0.500 0.306 0.304
Si: 0.500 0.520 0.205
Nd: 0.000 0.616 0.362
Si: 0.500 0.806 0.196

Results
Crystal system = orthorhombic
Formation energy (no corrections) = -10.34 kcal/mol of atoms
Density = 5736 kg/m³
Space-group type = Pbam
D(E_F) = 1.96 states/eV/f.u.


[12]
Crystalline Nd2TmSi2 at its relaxed geometry, computed with PBE-GGA.

Lattice parameters (Å, degrees): 4.402 7.558 7.558 90.00 90.00 90.00
Atoms (fractional coordinates):
Nd: 0.500 0.677 0.823
Tm: 0.000 0.500 0.500
Si: 0.000 0.115 0.385
Nd: 0.500 0.177 0.677
Nd: 0.500 0.823 0.323
Si: 0.000 0.885 0.615
Si: 0.000 0.615 0.115
Tm: 0.000 0.000 0.000
Si: 0.000 0.385 0.885
Nd: 0.500 0.323 0.177

Results
Crystal system = tetragonal
Excess energy over the best structure of this formula in the dataset = 0.000 eV per atom
Formation energy (no corrections) = -16.06 kcal/mol of atoms
Density = 6782 kg/m³
Space-group type = P4/mbm
D(E_F) = 4.00 states/eV/f.u.